DFT (PBE) results for a geometry-optimized Na2NpSnBr8 structure.

The structure in POSCAR format:
```
Na2NpSnBr8
1.0
-2.5423 5.5970 -3.5590
-0.8647 -4.3240 -5.2184
-8.1843 -1.8707 2.9056
Br Na Sn Np
8 2 1 1
Direct
0.1565 0.7853 0.2307
0.8435 0.2147 0.2305
0.3184 0.2615 0.0000
0.6816 0.7385 0.0000
0.3282 0.2717 0.5000
0.8435 0.2147 0.7693
0.6718 0.7283 0.5000
0.1565 0.7853 0.7695
0.5000 0.5000 0.2583
0.5000 0.5000 0.7417
0.0000 0.0000 0.5000
0.0000 0.0000 0.0000
```

Summary:
Raw formation energy ... -14.5 eV per formula unit
Crystal system ... monoclinic
Total DFT energy (no corrections) ... -47.46 eV for the cell shown
Symmetry ... P2/m
Size of the total moment ... 3.00 μB per formula unit